[1]
Entry from Alexandria via LeMat-Bulk: an optimized crystal structure of TeMoSe2F (PBE+U).

Structure (POSCAR):
```
TeMoSe2F
1.0
5.310 0.000 0.000
0.000 5.310 0.000
0.000 0.000 5.677
Te Mo Se F
1 1 2 1
direct
0.000 0.000 0.000 Te
0.000 0.000 0.500 Mo
0.000 0.500 0.000 Se
0.500 0.000 0.000 Se
0.500 0.500 0.500 F
```

Values from the calculation:
E (eV/f.u.): -16.23
N(E_F) (states/eV/f.u.): 5.2
SG: No. 123
Total magnetization (μB per atom): 0.9389

[2]
Entry from Alexandria via LeMat-Bulk: an optimized crystal structure of ZrMo2SeF (PBE+U).

Structure (POSCAR):
```
ZrMo2SeF
1.0
4.915 0.000 0.000
0.000 4.915 0.000
0.000 0.000 5.191
Zr Mo Se F
1 2 1 1
direct
0.000 0.000 0.000 Zr
0.000 0.500 0.500 Mo
0.500 0.000 0.500 Mo
0.000 0.000 0.500 Se
0.500 0.500 0.000 F
```

Values from the calculation:
E (eV/f.u.): -23.93
N(E_F) (states/eV/f.u.): 3.4
SG: No. 123
Total magnetization (μB per atom): 1.0130

[3]
Entry from Alexandria via LeMat-Bulk: an optimized crystal structure of SiMo2F (PBE+U).

Structure (POSCAR):
```
SiMo2F
1.0
6.422 0.000 0.000
0.000 6.422 0.000
0.000 0.000 6.422
Si Mo F
4 8 4
direct
0.000 0.000 0.000 Si
0.000 0.500 0.500 Si
0.500 0.000 0.500 Si
0.500 0.500 0.000 Si
0.250 0.250 0.250 Mo
0.250 0.250 0.750 Mo
0.250 0.750 0.250 Mo
0.250 0.750 0.750 Mo
0.750 0.250 0.250 Mo
0.750 0.250 0.750 Mo
0.750 0.750 0.250 Mo
0.750 0.750 0.750 Mo
0.000 0.000 0.500 F
0.000 0.500 0.000 F
0.500 0.000 0.000 F
0.500 0.500 0.500 F
```

Values from the calculation:
E (eV/f.u.): -20.64
N(E_F) (states/eV/f.u.): 1.2
ΔE to the lowest computed polymorph (meV/atom): 0.0
SG: No. 225
Total magnetization (μB per atom): 1.7500

[4]
Entry from Alexandria via LeMat-Bulk: an optimized crystal structure of SiMoF3 (PBE+U).

Structure (POSCAR):
```
SiMoF3
1.0
4.292 0.000 0.000
0.000 4.292 0.000
0.000 0.000 4.292
Si Mo F
1 1 3
direct
0.000 0.000 0.000 Si
0.500 0.500 0.500 Mo
0.000 0.000 0.500 F
0.000 0.500 0.000 F
0.500 0.000 0.000 F
```

Values from the calculation:
E (eV/f.u.): -23.81
N(E_F) (states/eV/f.u.): 0.2
ΔE to the lowest computed polymorph (meV/atom): 0.0
SG: No. 221
Total magnetization (μB per atom): 1.0027

What did the first record say?
Entry from Alexandria via LeMat-Bulk: an optimized crystal structure of TeMoSe2F (PBE+U).

Structure (POSCAR):
```
TeMoSe2F
1.0
5.310 0.000 0.000
0.000 5.310 0.000
0.000 0.000 5.677
Te Mo Se F
1 1 2 1
direct
0.000 0.000 0.000 Te
0.000 0.000 0.500 Mo
0.000 0.500 0.000 Se
0.500 0.000 0.000 Se
0.500 0.500 0.500 F
```

Values from the calculation:
E (eV/f.u.): -16.23
N(E_F) (states/eV/f.u.): 5.2
SG: No. 123
Total magnetization (μB per atom): 0.9389